(1)
The following is a DFT calculation (PBE) of SrTcNi2 after structural relaxation.

Lattice parameters (Å, degrees): 5.6947 5.6947 5.6947 151.86 130.44 57.96
Site moments in Bohr magnetons follow the coordinates.
Sites, in units of the cell vectors:
1 Ni 0.9967 0.9967 0.0000  0.20
2 Ni 0.7822 0.2822 0.5000  0.29
3 Sr 0.5058 0.5058 0.0000  -0.01
4 Tc 0.2152 0.7152 0.5000  0.51

Calculated values
E_tot: -5.324 eV/atom
Density of states at the Fermi level: 5.27 states/eV/f.u.
Formation energy from the elements: 0.579 eV/atom

***

(2)
The following is a DFT calculation (PBE) of Cs2KN6 after structural relaxation.

Lattice parameters (Å, degrees): 6.2780 6.6510 6.6483 120.00 90.00 90.00
Site moments in Bohr magnetons follow the coordinates.
Sites, in units of the cell vectors:
1 N 0.9077 0.0000 0.5000  0.09
2 N 0.9077 0.5000 0.0000  0.09
3 Cs 0.5000 0.6667 0.3334  0.00
4 K 0.0000 0.0000 0.0000  0.00
5 N 0.0923 0.5000 0.0000  0.09
6 N 0.0923 0.0000 0.5000  0.09
7 N 0.9077 0.5000 0.5000  0.09
8 Cs 0.5000 0.3333 0.6666  0.00
9 N 0.0923 0.5000 0.5000  0.09

Calculated values
Formation energy without anion corrections: -88 meV per atom
E_tot: -5.950 eV/atom
Density of states at the Fermi level: 5.72 states/eV/f.u.

***

(3)
The following is a DFT calculation (PBE) of Tb2ErTmS5 after structural relaxation.

Lattice parameters (Å, degrees): 4.8424 4.8424 10.1514 90.00 90.00 90.00
Sites, in units of the cell vectors:
1 Tm 0.0000 0.0000 0.5000
2 S 0.0000 0.5000 0.5000
3 S 0.5000 0.5000 0.0000
4 Tb 0.5000 0.5000 0.6722
5 Er 0.0000 0.0000 0.0000
6 S 0.0000 0.0000 0.7537
7 S 0.0000 0.0000 0.2463
8 S 0.5000 0.0000 0.5000
9 Tb 0.5000 0.5000 0.3278

Calculated values
Formation energy without anion corrections: -1346 meV per atom
E_tot: -5.672 eV/atom
Density of states at the Fermi level: 5.85 states/eV/f.u.

***

(4)
The following is a DFT calculation (PBE) of Li2SnAu after structural relaxation.

Lattice parameters (Å, degrees): 4.6812 4.6849 8.1938 90.00 90.00 119.97
Sites, in units of the cell vectors:
1 Li 0.3339 0.6679 0.5828
2 Sn 0.9992 0.9984 0.2500
3 Au 0.6676 0.3353 0.7500
4 Sn 0.0008 0.0016 0.7500
5 Li 0.6661 0.3321 0.4172
6 Li 0.6661 0.3321 0.0828
7 Au 0.3324 0.6647 0.2500
8 Li 0.3339 0.6679 0.9172

Calculated values
E_tot: -3.236 eV/atom
Density of states at the Fermi level: 0.86 states/eV/f.u.
Formation energy from the elements: -0.460 eV/atom